No. 1
The following is a PBE calculation of crystalline AcLa2Pm6Pr at its relaxed geometry, from Alexandria via LeMat-Bulk.

a b c (Å): 9.147 9.147 10.023
angles (deg): 93.57 93.57 118.54
Element x y z (fractional)
Ac1 0.020 0.980 0.750
Ac2 0.980 0.020 0.250
La1 0.190 0.306 0.542
La2 0.306 0.190 0.042
La3 0.694 0.810 0.958
La4 0.810 0.694 0.458
Pm1 0.026 0.569 0.686
Pm2 0.125 0.740 0.056
Pm3 0.260 0.875 0.444
Pm4 0.294 0.501 0.882
Pm5 0.431 0.974 0.814
Pm6 0.499 0.706 0.618
Pm7 0.501 0.294 0.382
Pm8 0.569 0.026 0.186
Pm9 0.706 0.499 0.118
Pm10 0.740 0.125 0.556
Pm11 0.875 0.260 0.944
Pm12 0.974 0.431 0.314
Pr1 0.406 0.594 0.250
Pr2 0.594 0.406 0.750

- Energy relative to the elements: 118 meV per atom
- Density of states at the Fermi level: 1.630 states/eV per atom
- E: -4.61 eV/atom

No. 2
The following is a PBE calculation of crystalline V2CoTcH at its relaxed geometry, from Alexandria via LeMat-Bulk.

a b c (Å): 4.044 4.044 3.276
angles (deg): 90.00 90.00 90.00
Element x y z (fractional)
V1 0.000 0.500 0.000
V2 0.500 0.000 0.000
Co1 0.000 0.000 0.500
Tc1 0.500 0.500 0.500
H1 0.000 0.000 0.000

- Density of states at the Fermi level: 1.085 states/eV per atom
- E: -7.97 eV/atom
- Distance to the lowest polymorph of the same formula: 0.000 eV per atom

No. 3
The following is a PBE calculation of crystalline ScCr2Mo at its relaxed geometry, from Alexandria via LeMat-Bulk.

a b c (Å): 3.099 4.522 8.522
angles (deg): 90.00 90.00 90.00
Element x y z (fractional)
Sc1 0.000 0.000 0.000
Sc2 0.500 0.500 0.500
Cr1 0.000 0.500 0.234
Cr2 0.000 0.500 0.766
Cr3 0.500 0.000 0.266
Cr4 0.500 0.000 0.734
Mo1 0.000 0.000 0.500
Mo2 0.500 0.500 0.000

- Energy relative to the elements: 300 meV per atom
- Density of states at the Fermi level: 1.343 states/eV per atom
- E: -8.80 eV/atom
- Distance to the lowest polymorph of the same formula: 0.108 eV per atom

No. 4
The following is a PBE calculation of crystalline NiH2Ru at its relaxed geometry, from Alexandria via LeMat-Bulk.

a b c (Å): 5.004 5.004 5.004
angles (deg): 90.00 90.00 90.00
Element x y z (fractional)
Ni1 0.000 0.000 0.000
Ni2 0.000 0.500 0.500
Ni3 0.500 0.000 0.500
Ni4 0.500 0.500 0.000
H1 0.250 0.250 0.250
H2 0.250 0.250 0.750
H3 0.250 0.750 0.250
H4 0.250 0.750 0.750
H5 0.750 0.250 0.250
H6 0.750 0.250 0.750
H7 0.750 0.750 0.250
H8 0.750 0.750 0.750
Ru1 0.000 0.000 0.500
Ru2 0.000 0.500 0.000
Ru3 0.500 0.000 0.000
Ru4 0.500 0.500 0.500

- Density of states at the Fermi level: 0.929 states/eV per atom
- E: -4.89 eV/atom
- Distance to the lowest polymorph of the same formula: 0.391 eV per atom

No. 5
The following is a PBE calculation of crystalline FeNi3Pd4 at its relaxed geometry, from Alexandria via LeMat-Bulk.

a b c (Å): 8.253 3.844 7.669
angles (deg): 90.00 117.71 90.00
Element x y z (fractional)
Fe1 0.000 0.000 0.000
Fe2 0.500 0.500 0.000
Ni1 0.000 0.000 0.500
Ni2 0.001 0.500 0.248
Ni3 0.499 0.000 0.752
Ni4 0.500 0.500 0.500
Ni5 0.501 0.000 0.248
Ni6 0.999 0.500 0.752
Pd1 0.249 0.000 0.874
Pd2 0.249 0.500 0.624
Pd3 0.251 0.000 0.376
Pd4 0.251 0.500 0.126
Pd5 0.749 0.000 0.624
Pd6 0.749 0.500 0.874
Pd7 0.751 0.000 0.126
Pd8 0.751 0.500 0.376

- Energy relative to the elements: -14 meV per atom
- Density of states at the Fermi level: 1.492 states/eV per atom
- E: -5.84 eV/atom
- Distance to the lowest polymorph of the same formula: 0.000 eV per atom

No. 6
The following is a PBE calculation of crystalline Al2ZnSnGe at its relaxed geometry, from Alexandria via LeMat-Bulk.

a b c (Å): 4.822 4.822 4.872
angles (deg): 90.00 90.00 90.00
Element x y z (fractional)
Al1 0.000 0.500 0.000
Al2 0.500 0.000 0.000
Zn1 0.000 0.000 0.000
Sn1 0.500 0.500 0.500
Ge1 0.000 0.000 0.500

- Energy relative to the elements: 469 meV per atom
- Density of states at the Fermi level: 0.455 states/eV per atom
- E: -3.01 eV/atom

No. 7
The following is a PBE calculation of crystalline CdCoCu2 at its relaxed geometry, from Alexandria via LeMat-Bulk.

a b c (Å): 2.838 4.442 8.808
angles (deg): 90.00 90.00 90.00
Element x y z (fractional)
Cd1 0.000 0.000 0.000
Cd2 0.500 0.500 0.500
Co1 0.000 0.500 0.766
Co2 0.500 0.000 0.266
Cu1 0.000 0.000 0.503
Cu2 0.000 0.500 0.238
Cu3 0.500 0.000 0.738
Cu4 0.500 0.500 0.003

- Energy relative to the elements: 261 meV per atom
- Density of states at the Fermi level: 0.923 states/eV per atom
- E: -3.79 eV/atom

No. 8
The following is a PBE calculation of crystalline PmNd7Dy2 at its relaxed geometry, from Alexandria via LeMat-Bulk.

a b c (Å): 9.307 9.307 5.730
angles (deg): 90.00 90.00 122.60
Element x y z (fractional)
Pm1 0.000 0.000 0.000
Nd1 0.064 0.295 0.500
Nd2 0.226 0.774 0.000
Nd3 0.295 0.064 0.500
Nd4 0.500 0.500 0.500
Nd5 0.705 0.936 0.500
Nd6 0.774 0.226 0.000
Nd7 0.936 0.705 0.500
Dy1 0.296 0.704 0.500
Dy2 0.704 0.296 0.500

- Energy relative to the elements: 636 meV per atom
- Density of states at the Fermi level: 1.494 states/eV per atom
- E: -4.10 eV/atom
- Distance to the lowest polymorph of the same formula: 0.263 eV per atom

No. 9
The following is a PBE calculation of crystalline PuPa2Si2Ru5 at its relaxed geometry, from Alexandria via LeMat-Bulk.

a b c (Å): 9.985 9.985 3.504
angles (deg): 90.00 90.00 90.00
Element x y z (fractional)
Pu1 0.000 0.000 0.000
Pu2 0.500 0.500 0.000
Pa1 0.175 0.325 0.000
Pa2 0.325 0.825 0.000
Pa3 0.675 0.175 0.000
Pa4 0.825 0.675 0.000
Si1 0.122 0.622 0.000
Si2 0.378 0.122 0.000
Si3 0.622 0.878 0.000
Si4 0.878 0.378 0.000
Ru1 0.000 0.500 0.500
Ru2 0.071 0.782 0.500
Ru3 0.218 0.071 0.500
Ru4 0.282 0.571 0.500
Ru5 0.429 0.282 0.500
Ru6 0.500 0.000 0.500
Ru7 0.571 0.718 0.500
Ru8 0.718 0.429 0.500
Ru9 0.782 0.929 0.500
Ru10 0.929 0.218 0.500

- ΔE_f (raw): -0.522 eV/atom
- Density of states at the Fermi level: 1.254 states/eV per atom
- E: -9.58 eV/atom

No. 10
The following is a PBE calculation of crystalline La5HoTl6 at its relaxed geometry, from Alexandria via LeMat-Bulk.

a b c (Å): 9.678 9.678 5.591
angles (deg): 106.78 106.78 120.08
Element x y z (fractional)
La1 0.000 0.000 0.000
La2 0.163 0.837 0.500
La3 0.324 0.676 0.000
La4 0.676 0.324 0.000
La5 0.837 0.163 0.500
Ho1 0.500 0.500 0.500
Tl1 0.100 0.422 0.261
Tl2 0.270 0.270 0.771
Tl3 0.422 0.100 0.261
Tl4 0.578 0.900 0.739
Tl5 0.730 0.730 0.229
Tl6 0.900 0.578 0.739

- Energy relative to the elements: -406 meV per atom
- Density of states at the Fermi level: 1.103 states/eV per atom
- E: -4.02 eV/atom

No. 11
The following is a PBE calculation of crystalline Dy2AlGe2Rh5 at its relaxed geometry, from Alexandria via LeMat-Bulk.

a b c (Å): 9.771 9.771 3.533
angles (deg): 90.00 90.00 90.00
Element x y z (fractional)
Dy1 0.174 0.326 0.000
Dy2 0.326 0.826 0.000
Dy3 0.674 0.174 0.000
Dy4 0.826 0.674 0.000
Al1 0.000 0.000 0.000
Al2 0.500 0.500 0.000
Ge1 0.126 0.626 0.000
Ge2 0.374 0.126 0.000
Ge3 0.626 0.874 0.000
Ge4 0.874 0.374 0.000
Rh1 0.000 0.500 0.500
Rh2 0.066 0.795 0.500
Rh3 0.205 0.066 0.500
Rh4 0.295 0.566 0.500
Rh5 0.434 0.295 0.500
Rh6 0.500 0.000 0.500
Rh7 0.566 0.705 0.500
Rh8 0.705 0.434 0.500
Rh9 0.795 0.934 0.500
Rh10 0.934 0.205 0.500

- Energy relative to the elements: -849 meV per atom
- Density of states at the Fermi level: 0.311 states/eV per atom
- E: -6.74 eV/atom

No. 12
The following is a PBE calculation of crystalline KRbPuO3 at its relaxed geometry, from Alexandria via LeMat-Bulk.

a b c (Å): 7.540 7.540 6.074
angles (deg): 94.70 94.70 127.22
Element x y z (fractional)
K1 0.226 0.774 0.750
K2 0.774 0.226 0.250
Rb1 0.413 0.587 0.250
Rb2 0.587 0.413 0.750
Pu1 0.059 0.941 0.250
Pu2 0.941 0.059 0.750
O1 0.141 0.227 0.486
O2 0.212 0.788 0.250
O3 0.227 0.141 0.986
O4 0.773 0.859 0.014
O5 0.788 0.212 0.750
O6 0.859 0.773 0.514

- ΔE_f (raw): -2.140 eV/atom
- Density of states at the Fermi level: 0.936 states/eV per atom
- E: -7.35 eV/atom

Question: Number 11 is which compound?
Answer: Dy2AlGe2Rh5

Question: What is the formula in the twelfth record?
Answer: KRbPuO3

Question: Which formula does entry 6 have?
Answer: Al2ZnSnGe